# KNaAs

Crystalline KNaAs at its relaxed geometry (PBE-GGA, Alexandria via LeMat-Bulk).

a = 5.5270 Å, b = 5.5270 Å, c = 8.3873 Å
α = 90.00°, β = 90.00°, γ = 120.00°
Closest atoms and distances in Å follow each position.
Space group P-6m2 (No. 187)
Unique sites:
K (0.0000, 0.0000, 0.2390) (multiplicity 2)  3 As 3.28
Na (0.3333, 0.6667, 0.5000) (multiplicity 1)  2 As 2.93
Na (0.6667, 0.3333, 0.0000) (multiplicity 1)  6 As 3.43, 6 K 3.77
As (0.3333, 0.6667, 0.1504) (multiplicity 2)  1 As 2.52

Values from the calculation:
M_tot in μB/atom: 0.1174
Total DFT energy (no corrections) in eV/atom: -2.53
Formation enthalpy at 0 K in eV per atom: -0.179